This record from Alexandria describes a PBEsol-optimized structure of GeSbRh3. The functional is meta-GGA SCAN.

a b c (Å): 4.7584 4.7584 4.7584
angles (deg): 90.00 90.00 90.00
Fractional coordinates of all 5 atoms:
Rh (0.5000, 0.0000, 0.0000)
Rh (0.0000, 0.0000, 0.5000)
Rh (0.0000, 0.5000, 0.0000)
Sb (0.0000, 0.0000, 0.0000)
Ge (0.5000, 0.5000, 0.5000)

- E_form (uncorrected): 1042 meV/atom
- E_tot: -30.491 eV per atom
- DOS(E_F): 1.357 states/eV per atom
- Mass density: 7.754 g/cm3
- Size of the total moment: 0.000 μB per atom